Entry 1:
A plane-wave DFT calculation with PBE-GGA was carried out for Nd3IrRh after structural relaxation.

abc: 7.6929 7.6929 7.6929
angles: 55.16 55.16 55.16
Sites, in units of the cell vectors:
Nd1 0.0929 0.7484 0.4069
Nd2 0.2516 0.5931 0.9071
Nd3 0.4069 0.0929 0.7484
Nd4 0.5931 0.9071 0.2516
Nd5 0.7484 0.4069 0.0929
Nd6 0.9071 0.2516 0.5931
Ir1 0.3285 0.3285 0.3285
Ir2 0.6715 0.6715 0.6715
Rh1 0.1717 0.1717 0.1717
Rh2 0.8283 0.8283 0.8283

Computed properties:
As for the offset from the most stable computed form: 18.5 kJ/mol of formula units.


Entry 2:
A plane-wave DFT calculation with PBE-GGA was carried out for Nd3Ir2Rh7 after structural relaxation.

abc: 9.3934 9.3934 9.3934
angles: 33.05 33.05 33.05
Sites, in units of the cell vectors:
Nd1 0.0000 0.0000 0.0000
Nd2 0.1388 0.1388 0.1388
Nd3 0.8612 0.8612 0.8612
Ir1 0.3326 0.3326 0.3326
Ir2 0.6674 0.6674 0.6674
Rh1 0.0826 0.5802 0.5802
Rh2 0.4198 0.4198 0.9174
Rh3 0.4198 0.9174 0.4198
Rh4 0.5000 0.5000 0.5000
Rh5 0.5802 0.0826 0.5802
Rh6 0.5802 0.5802 0.0826
Rh7 0.9174 0.4198 0.4198

Computed properties:
The energy is -7.430 eV/atom.


Entry 3:
A plane-wave DFT calculation with PBE-GGA was carried out for Nd2IrRh after structural relaxation.

abc: 5.0137 5.0137 5.0137
angles: 60.00 60.00 60.00
Sites, in units of the cell vectors:
Nd1 0.2500 0.2500 0.2500
Nd2 0.7500 0.7500 0.7500
Ir1 0.0000 0.0000 0.0000
Rh1 0.5000 0.5000 0.5000

Computed properties:
As for the offset from the most stable computed form: 14.2 kJ/mol of formula units.


Entry 4:
A plane-wave DFT calculation with PBE-GGA was carried out for Nd2IrRh after structural relaxation.

abc: 5.8263 4.2579 8.0114
angles: 90.00 110.16 90.00
Sites, in units of the cell vectors:
Nd1 0.2135 0.2500 0.4323
Nd2 0.2139 0.2500 0.9246
Nd3 0.7861 0.7500 0.0754
Nd4 0.7865 0.7500 0.5677
Ir1 0.3426 0.7500 0.7111
Ir2 0.6574 0.2500 0.2889
Rh1 0.3324 0.7500 0.2078
Rh2 0.6676 0.2500 0.7922

Computed properties:
As for the offset from the most stable computed form: 0.0 kJ/mol of formula units.


Entry 5:
A plane-wave DFT calculation with PBE-GGA was carried out for Nd8Ir5Rh after structural relaxation.

abc: 7.6908 7.6908 7.6908
angles: 109.52 109.52 109.38
Sites, in units of the cell vectors:
Nd1 0.0036 0.8797 0.2525
Nd2 0.1203 0.3727 0.1238
Nd3 0.1264 0.3778 0.6258
Nd4 0.2489 0.9964 0.8762
Nd5 0.4993 0.8736 0.2514
Nd6 0.6222 0.2480 0.7486
Nd7 0.6273 0.7511 0.7475
Nd8 0.7520 0.5007 0.3742
Ir1 0.2500 0.7500 0.5000
Ir2 0.3773 0.2533 0.3754
Ir3 0.7467 0.1221 0.1240
Ir4 0.8779 0.0019 0.6246
Ir5 0.9981 0.6227 0.8760
Rh1 0.5000 0.5000 0.0000

Computed properties:
The energy is -7.014 eV/atom.


Entry 6:
A plane-wave DFT calculation with PBE-GGA was carried out for NdIrRh4 after structural relaxation.

abc: 7.8329 3.9985 6.7801
angles: 90.00 90.00 90.00
Sites, in units of the cell vectors:
Nd1 0.2500 0.0000 0.1454
Nd2 0.7500 0.0000 0.8546
Ir1 0.2500 0.0000 0.7309
Ir2 0.7500 0.0000 0.2691
Rh1 0.0000 0.0000 0.5000
Rh2 0.0539 0.5000 0.8066
Rh3 0.2500 0.5000 0.4724
Rh4 0.4461 0.5000 0.8066
Rh5 0.5000 0.0000 0.5000
Rh6 0.5539 0.5000 0.1934
Rh7 0.7500 0.5000 0.5276
Rh8 0.9461 0.5000 0.1934

Computed properties:
The energy is -7.292 eV/atom.


Entry 7:
A plane-wave DFT calculation with PBE-GGA was carried out for Nd4IrRh after structural relaxation.

abc: 8.4625 8.4625 7.0559
angles: 111.65 111.65 112.62
Sites, in units of the cell vectors:
Nd1 0.0364 0.5378 0.7898
Nd2 0.2523 0.2528 0.7886
Nd3 0.2528 0.2523 0.2886
Nd4 0.4622 0.9636 0.7102
Nd5 0.5378 0.0364 0.2898
Nd6 0.7472 0.7477 0.7114
Nd7 0.7477 0.7472 0.2114
Nd8 0.9636 0.4622 0.2102
Ir1 0.3749 0.6251 0.2500
Ir2 0.6251 0.3749 0.7500
Rh1 0.1245 0.8755 0.7500
Rh2 0.8755 0.1245 0.2500

Computed properties:
As for the offset from the most stable computed form: 1.2 kJ/mol of formula units.


Entry 8:
A plane-wave DFT calculation with PBE-GGA was carried out for NdIrRh2 after structural relaxation.

abc: 9.3806 9.3806 9.3806
angles: 33.13 33.13 33.13
Sites, in units of the cell vectors:
Nd1 0.0000 0.0000 0.0000
Nd2 0.1391 0.1391 0.1391
Nd3 0.8609 0.8609 0.8609
Ir1 0.3323 0.3323 0.3323
Ir2 0.5000 0.5000 0.5000
Ir3 0.6677 0.6677 0.6677
Rh1 0.0841 0.5797 0.5797
Rh2 0.4203 0.4203 0.9159
Rh3 0.4203 0.9159 0.4203
Rh4 0.5797 0.0841 0.5797
Rh5 0.5797 0.5797 0.0841
Rh6 0.9159 0.4203 0.4203

Computed properties:
The energy is -7.559 eV/atom.


Entry 9:
A plane-wave DFT calculation with PBE-GGA was carried out for Nd6IrRh5 after structural relaxation.

abc: 5.0362 7.0209 7.9615
angles: 90.00 108.40 90.00
Sites, in units of the cell vectors:
Nd1 0.0000 0.2485 0.0000
Nd2 0.0000 0.7515 0.0000
Nd3 0.3345 0.2497 0.6683
Nd4 0.3345 0.7503 0.6683
Nd5 0.6655 0.2497 0.3317
Nd6 0.6655 0.7503 0.3317
Ir1 0.5000 0.0000 0.0000
Rh1 0.1655 0.5000 0.3325
Rh2 0.1687 0.0000 0.3396
Rh3 0.5000 0.5000 0.0000
Rh4 0.8313 0.0000 0.6604
Rh5 0.8345 0.5000 0.6675

Computed properties:
The energy is -6.815 eV/atom.


Entry 10:
A plane-wave DFT calculation with PBE-GGA was carried out for Nd6Ir2Rh after structural relaxation.

abc: 6.8826 7.4187 11.9516
angles: 90.00 120.58 90.00
Sites, in units of the cell vectors:
Nd1 0.0821 0.0574 0.2513
Nd2 0.0821 0.4426 0.7513
Nd3 0.2619 0.6780 0.0834
Nd4 0.2619 0.8220 0.5834
Nd5 0.3983 0.1812 0.0663
Nd6 0.3983 0.3188 0.5663
Nd7 0.6017 0.6812 0.4337
Nd8 0.6017 0.8188 0.9337
Nd9 0.7381 0.1780 0.4166
Nd10 0.7381 0.3220 0.9166
Nd11 0.9179 0.5574 0.2487
Nd12 0.9179 0.9426 0.7487
Ir1 0.3236 0.1119 0.7764
Ir2 0.3236 0.3881 0.2764
Ir3 0.6764 0.6119 0.7236
Ir4 0.6764 0.8881 0.2236
Rh1 0.0000 0.0000 0.0000
Rh2 0.0000 0.5000 0.5000

Computed properties:
The energy is -6.467 eV/atom.


Entry 11:
A plane-wave DFT calculation with PBE-GGA was carried out for Nd6IrRh2 after structural relaxation.

abc: 6.8357 7.4411 12.0630
angles: 90.00 120.97 90.00
Sites, in units of the cell vectors:
Nd1 0.0831 0.0567 0.2511
Nd2 0.0831 0.4433 0.7511
Nd3 0.2569 0.6771 0.0803
Nd4 0.2569 0.8229 0.5803
Nd5 0.4043 0.1810 0.0690
Nd6 0.4043 0.3190 0.5690
Nd7 0.5957 0.6810 0.4310
Nd8 0.5957 0.8190 0.9310
Nd9 0.7431 0.1771 0.4197
Nd10 0.7431 0.3229 0.9197
Nd11 0.9169 0.5567 0.2489
Nd12 0.9169 0.9433 0.7489
Ir1 0.0000 0.0000 0.0000
Ir2 0.0000 0.5000 0.5000
Rh1 0.3206 0.1129 0.7714
Rh2 0.3206 0.3871 0.2714
Rh3 0.6794 0.6129 0.7286
Rh4 0.6794 0.8871 0.2286

Computed properties:
As for the offset from the most stable computed form: 0.0 kJ/mol of formula units.


Entry 12:
A plane-wave DFT calculation with PBE-GGA was carried out for Nd2IrRh after structural relaxation.

abc: 7.1028 7.1028 7.1028
angles: 33.82 33.82 33.82
Sites, in units of the cell vectors:
Nd1 0.2489 0.2489 0.2489
Nd2 0.7511 0.7511 0.7511
Ir1 0.5000 0.5000 0.5000
Rh1 0.0000 0.0000 0.0000

Computed properties:
As for the offset from the most stable computed form: 91.0 kJ/mol of formula units.


Entry 13:
A plane-wave DFT calculation with PBE-GGA was carried out for Nd2IrRh after structural relaxation.

abc: 4.9518 4.9518 3.6354
angles: 90.00 90.00 90.00
Sites, in units of the cell vectors:
Nd1 0.0000 0.5000 0.0000
Nd2 0.5000 0.0000 0.0000
Ir1 0.0000 0.0000 0.5000
Rh1 0.5000 0.5000 0.5000

Computed properties:
As for the offset from the most stable computed form: 21.2 kJ/mol of formula units.


Entry 14:
A plane-wave DFT calculation with PBE-GGA was carried out for Nd2IrRh3 after structural relaxation.

abc: 5.4235 5.4235 5.4235
angles: 60.04 60.04 60.04
Sites, in units of the cell vectors:
Nd1 0.1255 0.1255 0.1255
Nd2 0.8745 0.8745 0.8745
Ir1 0.5000 0.5000 0.5000
Rh1 0.0000 0.5000 0.5000
Rh2 0.5000 0.0000 0.5000
Rh3 0.5000 0.5000 0.0000

Computed properties:
As for the offset from the most stable computed form: 0.0 kJ/mol of formula units.


Entry 15:
A plane-wave DFT calculation with PBE-GGA was carried out for Nd2Sb3IrRh4 after structural relaxation.

abc: 4.3801 4.3801 10.8517
angles: 90.00 90.00 90.00
Sites, in units of the cell vectors:
Nd1 0.0000 0.5000 0.2413
Nd2 0.5000 0.0000 0.7587
Sb1 0.0000 0.0000 0.0000
Sb2 0.0000 0.5000 0.6346
Sb3 0.5000 0.0000 0.3654
Ir1 0.5000 0.5000 0.0000
Rh1 0.0000 0.0000 0.5000
Rh2 0.0000 0.5000 0.8698
Rh3 0.5000 0.0000 0.1302
Rh4 0.5000 0.5000 0.5000

Computed properties:
The energy is -6.685 eV/atom.


Entry 16:
A plane-wave DFT calculation with PBE-GGA was carried out for Nd2Sb4IrRh3 after structural relaxation.

abc: 4.5170 4.5170 10.6346
angles: 90.00 90.00 90.00
Sites, in units of the cell vectors:
Nd1 0.0000 0.5000 0.2427
Nd2 0.5000 0.0000 0.7573
Sb1 0.0000 0.0000 0.5000
Sb2 0.0000 0.5000 0.8663
Sb3 0.5000 0.0000 0.1337
Sb4 0.5000 0.5000 0.5000
Ir1 0.5000 0.5000 0.0000
Rh1 0.0000 0.0000 0.0000
Rh2 0.0000 0.5000 0.6253
Rh3 0.5000 0.0000 0.3747

Computed properties:
The energy is -6.438 eV/atom.


Entry 17:
A plane-wave DFT calculation with PBE-GGA was carried out for Nd2Si4IrRh3 after structural relaxation.

abc: 4.1821 4.1821 9.8947
angles: 90.00 90.00 90.00
Sites, in units of the cell vectors:
Nd1 0.0000 0.5000 0.2432
Nd2 0.5000 0.0000 0.7568
Si1 0.0000 0.0000 0.0000
Si2 0.0000 0.5000 0.6290
Si3 0.5000 0.0000 0.3710
Si4 0.5000 0.5000 0.0000
Ir1 0.0000 0.0000 0.5000
Rh1 0.0000 0.5000 0.8747
Rh2 0.5000 0.0000 0.1253
Rh3 0.5000 0.5000 0.5000

Computed properties:
The energy is -7.251 eV/atom.


Entry 18:
A plane-wave DFT calculation with PBE-GGA was carried out for NdSiIrRh after structural relaxation.

abc: 4.2831 5.1242 5.1242
angles: 45.02 90.00 90.00
Sites, in units of the cell vectors:
Nd1 0.0000 0.0000 0.0000
Si1 0.5000 0.6167 0.6167
Ir1 0.5000 0.2553 0.2553
Rh1 0.0000 0.7240 0.7240

Computed properties:
The energy is -7.105 eV/atom.


Entry 19:
A plane-wave DFT calculation with PBE-GGA was carried out for NdSi3IrRh after structural relaxation.

abc: 7.2464 7.2464 5.7461
angles: 90.00 90.00 128.44
Sites, in units of the cell vectors:
Nd1 0.2112 0.7888 0.7500
Nd2 0.7888 0.2112 0.2500
Si1 0.2213 0.7787 0.2500
Si2 0.2908 0.2908 0.0000
Si3 0.2908 0.2908 0.5000
Si4 0.7092 0.7092 0.0000
Si5 0.7092 0.7092 0.5000
Si6 0.7787 0.2213 0.7500
Ir1 0.3929 0.6071 0.2500
Ir2 0.6071 0.3929 0.7500
Rh1 0.0512 0.9488 0.2500
Rh2 0.9488 0.0512 0.7500

Computed properties:
The energy is -6.848 eV/atom.


Entry 20:
A plane-wave DFT calculation with PBE-GGA was carried out for Nd2SnIr2Rh5 after structural relaxation.

abc: 9.5802 9.5802 4.0317
angles: 90.00 90.00 90.00
Sites, in units of the cell vectors:
Nd1 0.1686 0.3314 0.0000
Nd2 0.3314 0.8314 0.0000
Nd3 0.6686 0.1686 0.0000
Nd4 0.8314 0.6686 0.0000
Sn1 0.0000 0.0000 0.0000
Sn2 0.5000 0.5000 0.0000
Ir1 0.1291 0.6291 0.0000
Ir2 0.3709 0.1291 0.0000
Ir3 0.6291 0.8709 0.0000
Ir4 0.8709 0.3709 0.0000
Rh1 0.0000 0.5000 0.5000
Rh2 0.0672 0.7957 0.5000
Rh3 0.2043 0.0672 0.5000
Rh4 0.2957 0.5672 0.5000
Rh5 0.4328 0.2957 0.5000
Rh6 0.5000 0.0000 0.5000
Rh7 0.5672 0.7043 0.5000
Rh8 0.7043 0.4328 0.5000
Rh9 0.7957 0.9328 0.5000
Rh10 0.9328 0.2043 0.5000

Computed properties:
The energy is -7.176 eV/atom.


Entry 21:
A plane-wave DFT calculation with PBE-GGA was carried out for NdZrIrRh after structural relaxation.

abc: 4.8351 4.8351 4.8351
angles: 60.00 60.00 60.00
Sites, in units of the cell vectors:
Nd1 0.0000 0.0000 0.0000
Zr1 0.5000 0.5000 0.5000
Ir1 0.2500 0.2500 0.2500
Rh1 0.7500 0.7500 0.7500

Computed properties:
The energy is -7.993 eV/atom.


Entry 22:
A plane-wave DFT calculation with PBE-GGA was carried out for Nd5IrRu2 after structural relaxation.

abc: 8.9787 8.9787 8.9787
angles: 130.37 130.37 72.81
Sites, in units of the cell vectors:
Nd1 0.0000 0.0000 0.0000
Nd2 0.0343 0.5343 0.8547
Nd3 0.1795 0.0343 0.5000
Nd4 0.3205 0.8205 0.8547
Nd5 0.4657 0.3205 0.5000
Nd6 0.5000 0.5000 0.0000
Nd7 0.5343 0.6795 0.5000
Nd8 0.6795 0.1795 0.1453
Nd9 0.8205 0.9657 0.5000
Nd10 0.9657 0.4657 0.1453
Ir1 0.2500 0.2500 0.0000
Ir2 0.7500 0.7500 0.0000
Ru1 0.1204 0.3796 0.5000
Ru2 0.3796 0.8796 0.2592
Ru3 0.6204 0.1204 0.7408
Ru4 0.8796 0.6204 0.5000

Computed properties:
The energy is -6.717 eV/atom.